The following is a PBE calculation of Ba4Ta2O9 after structural relaxation, from Alexandria.

Cell and atoms, written as POSCAR:
```
Ba4Ta2O9
1.0
-0.831 -3.505 5.010
5.706 1.156 -2.045
0.696 13.615 9.641
Ba Ta O
8 4 18
direct
0.000 0.000 0.750
0.000 0.000 0.250
0.667 0.333 0.634
0.333 0.667 0.134
0.333 0.667 0.366
0.667 0.333 0.866
0.000 0.000 0.500
0.000 0.000 0.000
0.667 0.333 0.341
0.333 0.667 0.841
0.333 0.667 0.659
0.667 0.333 0.159
0.529 0.953 0.750
0.047 0.576 0.750
0.424 0.471 0.750
0.471 0.047 0.250
0.953 0.424 0.250
0.576 0.529 0.250
0.107 0.358 0.608
0.642 0.749 0.608
0.251 0.893 0.608
0.893 0.642 0.108
0.358 0.251 0.108
0.749 0.107 0.108
0.893 0.642 0.392
0.358 0.251 0.392
0.749 0.107 0.392
0.107 0.358 0.892
0.642 0.749 0.892
0.251 0.893 0.892
```

Summary:
Its crystal system is hexagonal. Its volume is 18.4 Å³ per atom. The raw formation energy comes out at -2.94 eV/atom. The spin magnetization is 0.0 μB/cell. The energy above the most stable polymorph in this dataset is 0.0 meV per atom.